Version P
Computed, not measured: SrTePS2 after structural relaxation at the PBE-GGA level of DFT. Values from VASP.

Symmetry: No. 123
DOS(E_F) in states/eV/f.u.: 1.9

Geometry as Quantum ESPRESSO input:
```
&SYSTEM
  ibrav = 0, nat = 5, ntyp = 4
/
ATOMIC_SPECIES
Sr 87.62 Sr.upf
Te 127.60 Te.upf
P 30.97 P.upf
S 32.06 S.upf
CELL_PARAMETERS angstrom
5.1716 0.0000 0.0000
0.0000 5.1716 0.0000
0.0000 0.0000 5.0027
ATOMIC_POSITIONS crystal
Sr 0.0000 0.0000 0.0000
Te 0.5000 0.5000 0.5000
P 0.5000 0.5000 0.0000
S 0.0000 0.5000 0.5000
S 0.5000 0.0000 0.5000
```

Version Q
Computed, not measured: SrTePS2 after structural relaxation at the PBE-GGA level of DFT. Values from VASP.

Symmetry: No. 123
DOS(E_F) in states/eV/f.u.: 5.1

Geometry as Quantum ESPRESSO input:
```
&SYSTEM
  ibrav = 0, nat = 5, ntyp = 4
/
ATOMIC_SPECIES
Sr 87.62 Sr.upf
Te 127.60 Te.upf
P 30.97 P.upf
S 32.06 S.upf
CELL_PARAMETERS angstrom
5.4774 0.0000 0.0000
0.0000 5.4774 0.0000
0.0000 0.0000 5.8306
ATOMIC_POSITIONS crystal
Sr 0.0000 0.0000 0.0000
Te 0.5000 0.5000 0.5000
P 0.0000 0.0000 0.5000
S 0.0000 0.5000 0.0000
S 0.5000 0.0000 0.0000
```

Most stable: version P